[1]
MgScGa: relaxed, PBE.

Unit cell a=3.186 b=3.186 c=12.031 alpha=90.00 beta=90.00 gamma=90.00
Space group P4mm (No. 99)
Symmetry-distinct sites (fractional):
1 Mg 0.000 0.000 0.000 (multiplicity 1)
2 Mg 0.500 0.500 0.187 (multiplicity 1)
3 Sc 0.000 0.000 0.384 (multiplicity 1)
4 Sc 0.000 0.000 0.694 (multiplicity 1)
5 Ga 0.500 0.500 0.535 (multiplicity 1)
6 Ga 0.500 0.500 0.849 (multiplicity 1)

Summary:
E_tot   -3.952 eV/atom
Total magnetic moment   0.05 Bohr magnetons per cell
Formation energy   -0.301 eV/atom


[2]
MgScGa6: relaxed, PBE.

Unit cell a=5.898 b=5.898 c=4.136 alpha=90.00 beta=90.00 gamma=90.00
Space group P4/mmm (No. 123)
Symmetry-distinct sites (fractional):
1 Mg 0.000 0.000 0.000 (multiplicity 1)
2 Sc 0.500 0.500 0.000 (multiplicity 1)
3 Ga 0.000 0.500 0.000 (multiplicity 2)
4 Ga 0.251 0.251 0.500 (multiplicity 4)

Summary:
E_tot   -3.525 eV/atom
Total magnetic moment   0.00 Bohr magnetons per cell
Formation energy   -0.264 eV/atom